1.
# TiS2ICl, optimized geometry, DFT PBE-GGA
# - Excess energy over the best structure of this formula in the dataset: 1330 meV per atom
# - ΔE_f (raw): 0.91 eV per atom
# - Density of states at the Fermi level: 12.674 states/eV/f.u.
data_TiS2ICl
_symmetry_space_group_name_H-M 'P 4/m m m'
_symmetry_Int_Tables_number 123
_symmetry_space_group_name_Hall '-P 4 2'
_cell_length_a 5.148
_cell_length_b 5.148
_cell_length_c 5.281
_cell_angle_alpha 90.00
_cell_angle_beta 90.00
_cell_angle_gamma 90.00
loop_
_atom_site_label
_atom_site_fract_x
_atom_site_fract_y
_atom_site_fract_z
_atom_site_occupancy
Ti1 0.000 0.000 0.000 1
S1 0.000 0.500 0.500 1
I1 0.500 0.500 0.500 1
Cl1 0.500 0.500 0.000 1

2.
# NaSrSn2Br6, optimized geometry, DFT PBE-GGA
# - ΔE_f (raw): -1.16 eV per atom
# - Density of states at the Fermi level: 1.131 states/eV/f.u.
data_NaSrSn2Br6
_symmetry_space_group_name_H-M 'P 1 21/c 1'
_symmetry_Int_Tables_number 14
_cell_length_a 8.318
_cell_length_b 8.135
_cell_length_c 13.146
_cell_angle_alpha 90.00
_cell_angle_beta 123.79
_cell_angle_gamma 90.00
loop_
_symmetry_equiv_pos_as_xyz
'x,y,z'
'-x,-y,-z'
'-x,y+1/2,-z+1/2'
'x,-y+1/2,z+1/2'
loop_
_atom_site_label
_atom_site_fract_x
_atom_site_fract_y
_atom_site_fract_z
_atom_site_occupancy
Na1 0.000 0.000 0.000 1
Sr1 0.500 0.000 0.500 1
Sn1 0.139 0.048 0.644 1
Br1 0.114 0.079 0.255 1
Br2 0.288 0.729 0.074 1
Br3 0.331 0.233 0.078 1